VASP calculation (PBE) on crystalline MgZnIn2 at its relaxed geometry.

abc: 5.598 5.598 5.019
angles: 99.05 99.05 35.34
Fractional positions:
Mg (0.000, 0.000, 0.000)
Zn (0.266, 0.266, 0.753)
In (0.514, 0.514, 0.517)
In (0.753, 0.753, 0.239)

For the formation energy, the calculation gives 0.1 eV/f.u. The calculation puts the energy above the most stable polymorph in this dataset at 0.021 eV per atom. The total magnetization is 0.00 μB per cell. The space group is Cm.


VASP calculation (PBE) on crystalline Mg4ZnIn5 at its relaxed geometry.

abc: 3.540 3.540 18.557
angles: 90.00 90.00 90.00
Fractional positions:
Mg (0.000, 0.000, 0.102)
Mg (0.000, 0.000, 0.306)
Mg (0.000, 0.000, 0.694)
Mg (0.000, 0.000, 0.898)
Zn (0.000, 0.000, 0.500)
In (0.500, 0.500, 0.000)
In (0.500, 0.500, 0.204)
In (0.500, 0.500, 0.409)
In (0.500, 0.500, 0.591)
In (0.500, 0.500, 0.796)

For the formation energy, the calculation gives -0.4 eV/f.u. The calculation puts the energy above the most stable polymorph in this dataset at 0.017 eV per atom. The total magnetization is 0.00 μB per cell. The space group is P4/mmm.


VASP calculation (PBE) on crystalline MgZnIn4 at its relaxed geometry.

abc: 6.122 6.122 6.122
angles: 60.00 60.00 60.00
Fractional positions:
Mg (0.000, 0.000, 0.000)
Zn (0.750, 0.750, 0.750)
In (0.375, 0.375, 0.375)
In (0.375, 0.375, 0.874)
In (0.375, 0.874, 0.375)
In (0.874, 0.375, 0.375)

For the formation energy, the calculation gives 1.3 eV/f.u. The total magnetization is 0.00 μB per cell. The space group is F-43m.


VASP calculation (PBE) on crystalline Mg8Zn3In3 at its relaxed geometry.

abc: 8.406 8.406 4.568
angles: 100.03 100.03 82.53
Fractional positions:
Mg (0.013, 0.743, 0.898)
Mg (0.167, 0.552, 0.389)
Mg (0.257, 0.987, 0.102)
Mg (0.448, 0.833, 0.611)
Mg (0.552, 0.167, 0.389)
Mg (0.743, 0.013, 0.898)
Mg (0.833, 0.448, 0.611)
Mg (0.987, 0.257, 0.102)
Zn (0.364, 0.636, 0.000)
Zn (0.500, 0.500, 0.500)
Zn (0.636, 0.364, 0.000)
In (0.000, 0.000, 0.500)
In (0.278, 0.278, 0.790)
In (0.722, 0.722, 0.210)

For the formation energy, the calculation gives 0.5 eV/f.u. The total magnetization is 0.00 μB per cell. The space group is C2/m.


VASP calculation (PBE) on crystalline Mg4ZnIn5 at its relaxed geometry.

abc: 5.556 6.351 7.144
angles: 76.39 74.12 74.49
Fractional positions:
Mg (0.099, 0.394, 0.309)
Mg (0.299, 0.201, 0.894)
Mg (0.701, 0.799, 0.106)
Mg (0.901, 0.606, 0.691)
Zn (0.500, 0.500, 0.500)
In (0.115, 0.886, 0.295)
In (0.299, 0.687, 0.891)
In (0.500, 0.000, 0.500)
In (0.701, 0.313, 0.109)
In (0.885, 0.114, 0.705)

For the formation energy, the calculation gives -0.5 eV/f.u. The calculation puts the energy above the most stable polymorph in this dataset at 0.000 eV per atom. The total magnetization is 0.00 μB per cell. The space group is P-1.


VASP calculation (PBE) on crystalline MgZnIn2 at its relaxed geometry.

abc: 9.559 9.559 9.559
angles: 20.08 20.08 20.08
Fractional positions:
Mg (0.000, 0.000, 0.000)
Zn (0.500, 0.500, 0.500)
In (0.245, 0.245, 0.245)
In (0.755, 0.755, 0.755)

For the formation energy, the calculation gives 0.0 eV/f.u. The calculation puts the energy above the most stable polymorph in this dataset at 0.000 eV per atom. The total magnetization is 0.00 μB per cell. The space group is R-3m.


VASP calculation (PBE) on crystalline MgZnIn2 at its relaxed geometry.

abc: 3.254 3.254 8.522
angles: 90.00 90.00 90.00
Fractional positions:
Mg (0.000, 0.000, 0.000)
Zn (0.500, 0.500, 0.203)
In (0.000, 0.000, 0.439)
In (0.500, 0.500, 0.739)

For the formation energy, the calculation gives 0.0 eV/f.u. The calculation puts the energy above the most stable polymorph in this dataset at 0.010 eV per atom. The total magnetization is 0.00 μB per cell. The space group is P4mm.


VASP calculation (PBE) on crystalline MgZnIn14 at its relaxed geometry.

abc: 8.456 7.021 7.021
angles: 93.08 90.00 90.00
Fractional positions:
Mg (0.000, 0.000, 0.000)
Zn (0.000, 0.500, 0.500)
In (0.000, 0.000, 0.499)
In (0.000, 0.499, 0.000)
In (0.236, 0.258, 0.258)
In (0.236, 0.742, 0.742)
In (0.244, 0.250, 0.749)
In (0.244, 0.749, 0.250)
In (0.500, 0.000, 0.000)
In (0.500, 0.500, 0.500)
In (0.500, 0.500, 0.999)
In (0.500, 0.999, 0.500)
In (0.756, 0.250, 0.749)
In (0.756, 0.749, 0.250)
In (0.764, 0.258, 0.258)
In (0.764, 0.742, 0.742)

For the formation energy, the calculation gives 0.6 eV/f.u. The total magnetization is 0.00 μB per cell. The space group is Amm2.


VASP calculation (PBE) on crystalline Mg5Zn2In at its relaxed geometry.

abc: 4.739 4.739 18.270
angles: 90.00 90.00 120.00
Fractional positions:
Mg (0.000, 0.000, 0.148)
Mg (0.000, 0.000, 0.352)
Mg (0.000, 0.000, 0.648)
Mg (0.000, 0.000, 0.852)
Mg (0.333, 0.667, 0.049)
Mg (0.333, 0.667, 0.250)
Mg (0.333, 0.667, 0.451)
Mg (0.667, 0.333, 0.549)
Mg (0.667, 0.333, 0.750)
Mg (0.667, 0.333, 0.951)
Zn (0.333, 0.667, 0.600)
Zn (0.333, 0.667, 0.900)
Zn (0.667, 0.333, 0.100)
Zn (0.667, 0.333, 0.400)
In (0.333, 0.667, 0.750)
In (0.667, 0.333, 0.250)

For the formation energy, the calculation gives 0.2 eV/f.u. The calculation puts the energy above the most stable polymorph in this dataset at 0.095 eV per atom. The total magnetization is 0.00 μB per cell. The space group is P6_3/mmc.


VASP calculation (PBE) on crystalline Mg5Zn2In at its relaxed geometry.

abc: 8.281 8.281 8.281
angles: 128.48 128.48 75.84
Fractional positions:
Mg (0.000, 0.000, 0.000)
Mg (0.015, 0.515, 0.823)
Mg (0.192, 0.015, 0.500)
Mg (0.308, 0.808, 0.823)
Mg (0.485, 0.308, 0.500)
Mg (0.500, 0.500, 0.000)
Mg (0.515, 0.692, 0.500)
Mg (0.692, 0.192, 0.177)
Mg (0.808, 0.985, 0.500)
Mg (0.985, 0.485, 0.177)
Zn (0.129, 0.371, 0.500)
Zn (0.371, 0.871, 0.242)
Zn (0.629, 0.129, 0.758)
Zn (0.871, 0.629, 0.500)
In (0.250, 0.250, 0.000)
In (0.750, 0.750, 0.000)

For the formation energy, the calculation gives -0.5 eV/f.u. The calculation puts the energy above the most stable polymorph in this dataset at 0.000 eV per atom. The total magnetization is 0.00 μB per cell. The space group is I4/mcm.


VASP calculation (PBE) on crystalline Mg14ZnIn at its relaxed geometry.

abc: 6.468 6.468 8.544
angles: 90.00 90.00 90.00
Fractional positions:
Mg (0.000, 0.000, 0.000)
Mg (0.000, 0.500, 0.000)
Mg (0.000, 0.500, 0.500)
Mg (0.244, 0.244, 0.258)
Mg (0.244, 0.244, 0.742)
Mg (0.244, 0.756, 0.258)
Mg (0.244, 0.756, 0.742)
Mg (0.500, 0.000, 0.000)
Mg (0.500, 0.000, 0.500)
Mg (0.500, 0.500, 0.000)
Mg (0.756, 0.244, 0.258)
Mg (0.756, 0.244, 0.742)
Mg (0.756, 0.756, 0.258)
Mg (0.756, 0.756, 0.742)
Zn (0.000, 0.000, 0.500)
In (0.500, 0.500, 0.500)

For the formation energy, the calculation gives -0.2 eV/f.u. The total magnetization is 0.00 μB per cell. The space group is P4/mmm.


VASP calculation (PBE) on crystalline Mg6ZnIn5 at its relaxed geometry.

abc: 5.563 6.307 7.687
angles: 90.00 91.47 90.00
Fractional positions:
Mg (0.000, 0.246, 0.000)
Mg (0.000, 0.754, 0.000)
Mg (0.337, 0.246, 0.675)
Mg (0.337, 0.754, 0.675)
Mg (0.663, 0.246, 0.325)
Mg (0.663, 0.754, 0.325)
Zn (0.500, 0.000, 0.000)
In (0.168, 0.500, 0.337)
In (0.173, 0.000, 0.328)
In (0.500, 0.500, 0.000)
In (0.827, 0.000, 0.672)
In (0.832, 0.500, 0.663)

For the formation energy, the calculation gives -0.9 eV/f.u. The total magnetization is 0.00 μB per cell. The space group is P2/m.


These records have ρ values of 5.91, 5.26, 5.62, 3.92, 5.32, 5.89, 5.88, 6.77, 3.43, 3.60, 2.42, 4.84 g cm⁻³, in the order they appear.